Record 1
{"formula": "MgZrFe2", "functional": "PBE", "state": "relaxed", "lattice": [[-1.815, 0.477, -2.418], [1.422, -2.250, -1.511], [-4.675, -4.692, 2.585]], "species": ["Mg", "Fe", "Fe", "Zr"], "fractional_positions": [[0.000, 0.000, 0.451], [0.000, 0.000, 0.042], [0.500, 0.500, 0.208], [0.500, 0.500, 0.799]], "delta_e_f_ev_per_fu": 0.3, "density_g_cm3": 5.67, "spacegroup": "P4mm (99)", "total_magnetization_mub_per_fu": 4.29}

Record 2
{"formula": "AgSnF4", "functional": "PBE", "state": "relaxed", "lattice": [[-2.432, 1.342, 5.436], [-2.844, -5.690, 0.132], [4.839, -2.355, 2.746]], "species": ["F", "F", "F", "F", "F", "F", "F", "F", "Sn", "Sn", "Ag", "Ag"], "fractional_positions": [[0.222, 0.186, 0.724], [0.778, 0.814, 0.724], [0.196, 0.338, 0.189], [0.804, 0.662, 0.189], [0.196, 0.662, 0.811], [0.778, 0.186, 0.276], [0.804, 0.338, 0.811], [0.222, 0.814, 0.276], [0.000, 0.500, 0.000], [0.000, 0.000, 0.500], [0.000, 0.000, 0.000], [0.500, 0.000, 0.500]], "density_g_cm3": 4.28, "raw_formation_energy_ev_per_atom": -1.72, "spacegroup": "P222 (16)", "total_magnetization_mub_per_fu": 0.00}

Record 3
{"formula": "PmZn2Ag5", "functional": "PBE", "state": "relaxed", "lattice": [[-2.372, -2.355, -2.031], [3.611, -2.458, -5.133], [1.756, -6.327, 1.518]], "species": ["Ag", "Ag", "Ag", "Ag", "Ag", "Pm", "Zn", "Zn"], "fractional_positions": [[0.356, 0.449, 0.838], [0.356, 0.838, 0.449], [0.000, 0.500, 0.500], [0.644, 0.162, 0.551], [0.644, 0.551, 0.162], [0.000, 0.000, 0.000], [0.262, 0.238, 0.238], [0.738, 0.762, 0.762]], "delta_e_f_ev_per_fu": -0.9, "density_g_cm3": 8.58, "spacegroup": "Immm (71)", "total_magnetization_mub_per_fu": 0.00}

Record 4
{"formula": "InAuSCl2", "functional": "PBE", "state": "relaxed", "lattice": [[5.026, 0.000, 0.000], [0.000, 5.026, 0.000], [0.000, 0.000, 5.001]], "species": ["In", "Cl", "Cl", "Au", "S"], "fractional_positions": [[0.500, 0.500, 0.500], [0.500, 0.000, 0.000], [0.000, 0.500, 0.000], [0.000, 0.000, 0.000], [0.000, 0.000, 0.500]], "de_polymorph_ev_per_fu": 0.00, "density_g_cm3": 5.45, "raw_formation_energy_ev_per_atom": -0.09, "spacegroup": "P4/mmm (123)", "total_magnetization_mub_per_fu": 0.00}

Record 5
{"formula": "CaInTe2I", "functional": "PBE", "state": "relaxed", "lattice": [[5.930, 0.000, 0.000], [0.000, 5.930, 0.000], [0.000, 0.000, 6.147]], "species": ["Ca", "Te", "Te", "In", "I"], "fractional_positions": [[0.000, 0.000, 0.000], [0.500, 0.000, 0.000], [0.000, 0.500, 0.000], [0.500, 0.500, 0.500], [0.000, 0.000, 0.500]], "de_polymorph_ev_per_fu": 0.10, "density_g_cm3": 4.13, "raw_formation_energy_ev_per_atom": -0.35, "spacegroup": "P4/mmm (123)", "total_magnetization_mub_per_fu": 0.81}

Record 6
{"formula": "MnAlCu2", "functional": "PBE", "state": "relaxed", "lattice": [[-1.941, 1.946, 0.001], [-1.489, -1.486, 1.789], [1.606, 1.597, 6.923]], "species": ["Al", "Mn", "Cu", "Cu"], "fractional_positions": [[0.500, 0.749, 0.751], [0.000, 0.503, 0.497], [0.000, 0.995, 0.005], [0.500, 0.253, 0.247]], "delta_e_f_ev_per_fu": -0.3, "density_g_cm3": 6.78, "spacegroup": "Pmm2 (25)", "total_magnetization_mub_per_fu": 2.77}

Record 7
{"formula": "TlCr3Bi", "functional": "PBE", "state": "relaxed", "lattice": [[-1.835, 3.262, -3.822], [-5.018, -1.394, 1.219], [-0.252, 4.004, 3.538]], "species": ["Tl", "Cr", "Cr", "Cr", "Bi"], "fractional_positions": [[0.500, 0.500, 0.500], [0.000, 0.000, 0.500], [0.500, 0.000, 0.000], [0.000, 0.500, 0.000], [0.000, 0.000, 0.000]], "de_polymorph_ev_per_fu": 0.00, "delta_e_f_ev_per_fu": 6.2, "density_g_cm3": 6.18, "spacegroup": "Pm-3m (221)", "total_magnetization_mub_per_fu": 13.51}

Record 8
{"formula": "YSbRh2", "functional": "PBE", "state": "relaxed", "lattice": [[4.464, 0.010, 0.014], [-0.011, 4.464, 0.014], [-0.009, -0.009, 3.755]], "species": ["Y", "Sb", "Rh", "Rh"], "fractional_positions": [[0.000, 0.500, 0.500], [0.500, 0.000, 0.500], [0.500, 0.500, 0.000], [0.000, 0.000, 0.000]], "density_g_cm3": 9.24, "raw_formation_energy_ev_per_atom": -0.69, "spacegroup": "P4/mmm (123)", "total_magnetization_mub_per_fu": 0.00}